Entry 1:
Compound: Ce2CdRuPt
Source: Alexandria via LeMat-Bulk
Functional: PBE
Structure: optimized geometry

Computed properties:
Calculated density ... 9.64 g/cm³
Energy ... -61.38 eV per cell
ΔE_f ... -518 meV per atom

Lattice parameters (Å, degrees): 6.856 5.005 7.612 90.00 114.78 90.00
Sites, in units of the cell vectors:
Ce1 0.109 0.250 0.362
Ce2 0.336 0.750 0.089
Ce3 0.664 0.250 0.911
Ce4 0.891 0.750 0.638
Cd1 0.390 0.750 0.640
Cd2 0.610 0.250 0.360
Ru1 0.115 0.250 0.060
Ru2 0.885 0.750 0.940
Pt1 0.219 0.250 0.757
Pt2 0.781 0.750 0.243

=====

Entry 2:
Compound: H2SeI
Source: Alexandria via LeMat-Bulk
Functional: PBE
Structure: optimized geometry

Computed properties:
Calculated density ... 4.41 g/cm³
Energy ... -9.55 eV per cell

Lattice parameters (Å, degrees): 8.482 8.482 8.482 22.49 22.49 22.49
Sites, in units of the cell vectors:
H1 0.144 0.144 0.144
H2 0.856 0.856 0.856
Se1 0.500 0.500 0.500
I1 0.000 0.000 0.000

=====

Entry 3:
Compound: TlAuBr2
Source: Alexandria via LeMat-Bulk
Functional: PBE
Structure: optimized geometry

Computed properties:
Calculated density ... 7.65 g/cm³
Energy relative to the elements, uncorrected ... -131.7 meV/atom
Energy ... -9.52 eV per cell

Lattice parameters (Å, degrees): 4.034 4.458 6.772 90.00 90.00 90.00
Sites, in units of the cell vectors:
Tl1 0.000 0.000 0.000
Au1 0.000 0.500 0.500
Br1 0.500 0.000 0.500
Br2 0.500 0.500 0.000

=====

Entry 4:
Compound: ScFeTe2Cl
Source: Alexandria via LeMat-Bulk
Functional: PBE
Structure: optimized geometry

Computed properties:
Calculated density ... 5.27 g/cm³
Energy relative to the elements, uncorrected ... -212.6 meV/atom
Energy ... -23.99 eV per cell

Lattice parameters (Å, degrees): 5.331 5.331 4.338 90.00 90.00 90.00
Sites, in units of the cell vectors:
Sc1 0.000 0.000 0.000
Fe1 0.500 0.500 0.500
Te1 0.000 0.500 0.500
Te2 0.500 0.000 0.500
Cl1 0.500 0.500 0.000

=====

Entry 5:
Compound: PaInPd
Source: Alexandria via LeMat-Bulk
Functional: PBE
Structure: optimized geometry

Computed properties:
Calculated density ... 11.66 g/cm³
Energy ... -18.03 eV per cell
ΔE_f ... -202 meV per atom

Lattice parameters (Å, degrees): 3.176 3.176 7.371 90.00 90.00 120.00
Sites, in units of the cell vectors:
Pa1 0.000 0.000 0.000
In1 0.333 0.667 0.621
Pd1 0.667 0.333 0.325

=====

Entry 6:
Compound: Mn3SnI
Source: Alexandria via LeMat-Bulk
Functional: PBE
Structure: optimized geometry

Computed properties:
Calculated density ... 4.32 g/cm³
Energy relative to the elements, uncorrected ... 858.7 meV/atom
Energy ... -28.77 eV per cell

Lattice parameters (Å, degrees): 5.402 5.402 5.402 90.00 90.00 90.00
Sites, in units of the cell vectors:
Mn1 0.000 0.000 0.500
Mn2 0.000 0.500 0.000
Mn3 0.500 0.000 0.000
Sn1 0.000 0.000 0.000
I1 0.500 0.500 0.500

=====

- Which value of energy does entry 6 give?
  -28.77 eV per cell

=====

- Number 5 is which compound?
  PaInPd

=====

- Which of these has the lowest calculated density?
  Mn3SnI

=====

What did the fifth record say?
Compound: PaInPd
Source: Alexandria via LeMat-Bulk
Functional: PBE
Structure: optimized geometry

Computed properties:
Calculated density ... 11.66 g/cm³
Energy ... -18.03 eV per cell
ΔE_f ... -202 meV per atom

Lattice parameters (Å, degrees): 3.176 3.176 7.371 90.00 90.00 120.00
Sites, in units of the cell vectors:
Pa1 0.000 0.000 0.000
In1 0.333 0.667 0.621
Pd1 0.667 0.333 0.325